--- w ---
Entry from Alexandria: an optimized crystal structure of CeSiHg (PBE).

Values from the calculation:
Size of the total moment in μB per cell: 0.63

```
data_CeSiHg
_chemical_formula_sum 'Ce2 Si2 Hg2'
_symmetry_space_group_name_H-M 'I 4 m m'
_symmetry_Int_Tables_number 107
_symmetry_space_group_name_Hall 'I 4 -2'
_cell_length_a 3.998
_cell_length_b 3.998
_cell_length_c 9.131
_cell_angle_alpha 90.00
_cell_angle_beta 90.00
_cell_angle_gamma 90.00
loop_
_atom_site_label
_atom_site_type_symbol
_atom_site_fract_x
_atom_site_fract_y
_atom_site_fract_z
Ce1 Ce 0.000 0.000 0.000
Si1 Si 0.000 0.000 0.362
Hg1 Hg 0.000 0.000 0.677
```

--- x ---
Entry from Alexandria: an optimized crystal structure of CeSiHg (PBE).

Values from the calculation:
Size of the total moment in μB per cell: 0.82

```
data_CeSiHg
_chemical_formula_sum 'Ce1 Si1 Hg1'
_symmetry_space_group_name_H-M 'P 3 m 1'
_symmetry_Int_Tables_number 156
_symmetry_space_group_name_Hall 'P 3 -2"'
_cell_length_a 4.3896
_cell_length_b 4.3896
_cell_length_c 4.2896
_cell_angle_alpha 90.00
_cell_angle_beta 90.00
_cell_angle_gamma 120.00
loop_
_atom_site_label
_atom_site_type_symbol
_atom_site_fract_x
_atom_site_fract_y
_atom_site_fract_z
Ce1 Ce 0.0000 0.0000 0.0000
Si1 Si 0.3333 0.6667 0.5803
Hg1 Hg 0.6667 0.3333 0.4446
```

--- y ---
Entry from Alexandria: an optimized crystal structure of CeSiHg (PBE).

Values from the calculation:
Size of the total moment in μB per cell: 3.16

```
data_CeSiHg
_chemical_formula_sum 'Ce4 Si4 Hg4'
_symmetry_space_group_name_H-M 'C 1 2/m 1'
_symmetry_Int_Tables_number 12
_symmetry_space_group_name_Hall '-C 2y'
_cell_length_a 16.922
_cell_length_b 4.209
_cell_length_c 3.928
_cell_angle_alpha 90.00
_cell_angle_beta 90.18
_cell_angle_gamma 90.00
loop_
_atom_site_label
_atom_site_type_symbol
_atom_site_fract_x
_atom_site_fract_y
_atom_site_fract_z
Ce1 Ce 0.097 0.000 0.251
Si1 Si 0.039 0.500 0.751
Hg1 Hg 0.209 0.500 0.751
```

y (0.137 eV/atom below the next structure)